<one>
A relaxed Pm12HoEr6 crystal. Source: Alexandria via LeMat-Bulk, functional GGA-PBE.

* SG: R-3 (148)

Lattice parameters (Å, degrees): 9.2003 9.2003 9.2003 106.57 106.57 106.57
Last column: nearest neighbours and their distance in Å.
Element x y z (fractional)
Pm 0.1728 0.7222 0.8663  5 Er 3.39-3.65, 5 Pm 3.40-3.78, 1 Ho 3.49
Pm 0.8080 0.4184 0.5161  4 Er 3.36-3.74, 6 Pm 3.40-3.58
Pm 0.8663 0.1728 0.7222  5 Er 3.39-3.65, 5 Pm 3.40-3.78, 1 Ho 3.49
Pm 0.1337 0.8272 0.2778  5 Er 3.39-3.65, 5 Pm 3.40-3.78, 1 Ho 3.49
Pm 0.4184 0.5161 0.8080  4 Er 3.36-3.74, 6 Pm 3.40-3.58
Pm 0.1920 0.5816 0.4839  4 Er 3.36-3.74, 6 Pm 3.40-3.58
Pm 0.8272 0.2778 0.1337  5 Er 3.39-3.65, 5 Pm 3.40-3.78, 1 Ho 3.49
Pm 0.5161 0.8080 0.4184  4 Er 3.36-3.74, 6 Pm 3.40-3.58
Pm 0.4839 0.1920 0.5816  4 Er 3.36-3.74, 6 Pm 3.40-3.58
Pm 0.7222 0.8663 0.1728  5 Er 3.39-3.65, 5 Pm 3.40-3.78, 1 Ho 3.49
Pm 0.5816 0.4839 0.1920  4 Er 3.36-3.74, 6 Pm 3.40-3.58
Pm 0.2778 0.1337 0.8272  5 Er 3.39-3.65, 5 Pm 3.40-3.78, 1 Ho 3.49
Ho 0.0000 0.0000 0.0000  6 Pm 3.49, 6 Er 3.81
Er 0.9228 0.8102 0.5449  9 Pm 3.36-3.74
Er 0.5449 0.9228 0.8102  9 Pm 3.36-3.74
Er 0.0772 0.1898 0.4551  9 Pm 3.36-3.74
Er 0.1898 0.4551 0.0772  9 Pm 3.36-3.74
Er 0.4551 0.0772 0.1898  9 Pm 3.36-3.74
Er 0.8102 0.5449 0.9228  9 Pm 3.36-3.74



<two>
A relaxed Pm12HoEr6 crystal. Source: Alexandria via LeMat-Bulk, functional GGA-PBE.

* SG: R-3 (148)

Lattice parameters (Å, degrees): 8.6201 8.6201 8.6201 88.89 88.89 88.89
Last column: nearest neighbours and their distance in Å.
Element x y z (fractional)
Pm 0.5371 0.4334 0.7807  6 Pm 3.34-3.73, 3 Er 3.34-3.49
Pm 0.4334 0.7807 0.5371  6 Pm 3.34-3.73, 3 Er 3.34-3.49
Pm 0.7807 0.5371 0.4334  6 Pm 3.34-3.73, 3 Er 3.34-3.49
Pm 0.1949 0.3624 0.0170  4 Pm 3.45-3.61, 4 Er 3.52-3.70, 1 Ho 3.58
Pm 0.2193 0.4629 0.5666  6 Pm 3.34-3.73, 3 Er 3.34-3.49
Pm 0.0170 0.1949 0.3624  4 Pm 3.45-3.61, 4 Er 3.52-3.70, 1 Ho 3.58
Pm 0.6376 0.9830 0.8051  4 Pm 3.45-3.61, 4 Er 3.52-3.70, 1 Ho 3.58
Pm 0.8051 0.6376 0.9830  4 Pm 3.45-3.61, 4 Er 3.52-3.70, 1 Ho 3.58
Pm 0.3624 0.0170 0.1949  4 Pm 3.45-3.61, 4 Er 3.52-3.70, 1 Ho 3.58
Pm 0.4629 0.5666 0.2193  6 Pm 3.34-3.73, 3 Er 3.34-3.49
Pm 0.5666 0.2193 0.4629  6 Pm 3.34-3.73, 3 Er 3.34-3.49
Pm 0.9830 0.8051 0.6376  4 Pm 3.45-3.61, 4 Er 3.52-3.70, 1 Ho 3.58
Er 0.0990 0.7023 0.2589  7 Pm 3.34-3.70, 1 Ho 3.47, 2 Er 3.51
Er 0.2589 0.0990 0.7023  7 Pm 3.34-3.70, 1 Ho 3.47, 2 Er 3.51
Er 0.2977 0.7411 0.9010  7 Pm 3.34-3.70, 1 Ho 3.47, 2 Er 3.51
Er 0.9010 0.2977 0.7411  7 Pm 3.34-3.70, 1 Ho 3.47, 2 Er 3.51
Er 0.7411 0.9010 0.2977  7 Pm 3.34-3.70, 1 Ho 3.47, 2 Er 3.51
Er 0.7023 0.2589 0.0990  7 Pm 3.34-3.70, 1 Ho 3.47, 2 Er 3.51
Ho 0.0000 0.0000 0.0000  6 Er 3.47, 6 Pm 3.58



Most stable to least stable, the ends of the list are <two> and <one>.